Computed, not measured: a crystal of Sn2MoPd2 relaxed with PBEsol at the SCAN level of DFT.

Structure (POSCAR):
```
Sn2MoPd2
1.0
3.736 0.000 0.000
0.000 3.736 0.000
0.000 0.000 13.075
Sn Mo Pd
4 2 4
Cartesian
0.000 0.000 1.381
0.000 0.000 11.694
1.868 1.868 5.157
1.868 1.868 7.918
0.000 0.000 6.537
1.868 1.868 0.000
0.000 1.868 3.269
0.000 1.868 9.806
1.868 0.000 3.269
1.868 0.000 9.806
```

Summary:
Total magnetization ... 0.00 μB/cell
Calculated formation energy ... 0.20 eV/atom